Rh7Br | GGA-PBE | optimized geometry

The structure in CIF format:
```
data_Rh7Br
_chemical_formula_sum 'Rh7 Br1'
_space_group_name_H-M_alt 'P 1'
_space_group_IT_number 1
_space_group_name_Hall 'P 1'
_cell_length_a 5.505
_cell_length_b 5.505
_cell_length_c 5.505
_cell_angle_alpha 60.00
_cell_angle_beta 60.00
_cell_angle_gamma 60.00
loop_
_atom_site_label
_atom_site_type_symbol
_atom_site_fract_x
_atom_site_fract_y
_atom_site_fract_z
_atom_site_occupancy
Rh1 Rh 0.500 0.500 0.000 1
Rh2 Rh 0.500 0.000 0.500 1
Rh3 Rh 0.500 0.000 0.000 1
Rh4 Rh 0.000 0.000 0.500 1
Rh5 Rh 0.000 0.500 0.000 1
Rh6 Rh 0.000 0.500 0.500 1
Rh7 Rh 0.500 0.500 0.500 1
Br1 Br 0.000 0.000 0.000 1
```

Properties
The magnetization is 0.000 μB per formula unit. As for the energy: -50.16 eV for the cell shown. Its space group is No. 225. Its uncorrected formation energy is 0.3710 eV per atom. The crystal system is cubic.